Entry w
InSi3H: PBEsol geometry, SCAN.

Magnetic moment = 0.0 μB/f.u.

Cell lengths 4.159, 4.159, 4.159 Å; angles 90.00, 90.00, 90.00 degrees
Fractional positions:
H: 0.000 0.000 0.000
Si: 0.000 0.500 0.000
Si: 0.000 0.000 0.500
Si: 0.500 0.000 0.000
In: 0.500 0.500 0.500


Entry x
InSi3H: PBEsol geometry, SCAN.

Magnetic moment = 0.8 μB/f.u.

Cell lengths 5.110, 5.110, 5.110 Å; angles 90.00, 90.00, 90.00 degrees
Fractional positions:
H: 0.500 0.500 0.500
Si: 0.000 0.500 0.000
Si: 0.000 0.000 0.500
Si: 0.500 0.000 0.000
In: 0.000 0.000 0.000


Taking the most stable structure as the zero point, the relative energies in kJ/mol of atoms are entry w 0.0; entry x 110.7.


Entry w
ZrInH2: PBEsol geometry, SCAN.

Magnetic moment = 0.0 μB/f.u.

Cell lengths 4.415, 4.415, 6.263 Å; angles 110.64, 110.64, 90.00 degrees
Fractional positions:
H: 0.468 0.875 0.250
H: 0.782 0.375 0.250
H: 0.125 0.218 0.750
H: 0.625 0.532 0.750
Zr: 0.750 0.250 0.500
Zr: 0.500 0.500 0.000
In: 0.250 0.750 0.500
In: 0.000 0.000 0.000


Entry x
ZrInH2: PBEsol geometry, SCAN.

Magnetic moment = 0.0 μB/f.u.

Cell lengths 4.079, 4.079, 4.079 Å; angles 60.00, 60.00, 60.00 degrees
Fractional positions:
H: 0.250 0.250 0.250
H: 0.750 0.750 0.750
Zr: 0.000 0.000 0.000
In: 0.500 0.500 0.500


Taking the most stable structure as the zero point, the relative energies in kJ/mol of atoms are entry w 0.0; entry x 39.9.


Entry w
ScHIr3: PBEsol geometry, SCAN.

Magnetic moment = 0.0 μB/f.u.

Cell lengths 3.950, 3.950, 3.950 Å; angles 90.00, 90.00, 90.00 degrees
Fractional positions:
Sc: 0.500 0.500 0.500
H: 0.000 0.000 0.000
Ir: 0.000 0.500 0.000
Ir: 0.000 0.000 0.500
Ir: 0.500 0.000 0.000


Entry x
ScHIr3: PBEsol geometry, SCAN.

Magnetic moment = 0.0 μB/f.u.

Cell lengths 5.549, 5.549, 5.549 Å; angles 91.10, 119.25, 119.48 degrees
Fractional positions:
Sc: 0.450 0.718 0.231
Sc: 0.487 0.218 0.769
H: 0.470 0.469 0.501
H: 0.968 0.969 0.499
Ir: 0.968 0.718 0.250
Ir: 0.968 0.219 0.751
Ir: 0.468 0.218 0.249
Ir: 0.966 0.218 0.247
Ir: 0.468 0.719 0.750
Ir: 0.971 0.718 0.753


Taking the most stable structure as the zero point, the relative energies in kJ/mol of atoms are entry w 5.3; entry x 0.0.


Entry w
KHSN2: PBEsol geometry, SCAN.

Magnetic moment = 4.9 μB/f.u.

Cell lengths 3.222, 4.439, 4.439 Å; angles 90.00, 90.00, 90.00 degrees
Fractional positions:
H: 0.000 0.000 0.000
K: 0.500 0.500 0.500
S: 0.500 0.000 0.000
N: 0.000 0.000 0.500
N: 0.000 0.500 0.000


Entry x
KHSN2: PBEsol geometry, SCAN.

Magnetic moment = 8.0 μB/f.u.

Cell lengths 5.769, 5.769, 6.021 Å; angles 90.00, 90.00, 90.00 degrees
Fractional positions:
H: 0.500 0.500 0.500
K: 0.000 0.000 0.000
S: 0.000 0.000 0.500
N: 0.000 0.500 0.000
N: 0.500 0.000 0.000


Taking the most stable structure as the zero point, the relative energies in kJ/mol of atoms are entry w 0.0; entry x 65.2.